No. 1
Computed, not measured: a relaxed structure of Cu2As2PbO10 at the PBE level of DFT.

```
Cu2As2PbO10
1.0
-4.579 -3.100 0.562
-2.286 -1.413 -4.865
1.144 -7.886 -1.967
Cu As Pb O
2 2 1 10
direct
0.000 0.500 0.500 Cu
0.500 0.000 0.500 Cu
0.574 0.574 0.227 As
0.426 0.426 0.773 As
0.000 0.000 0.000 Pb
0.822 0.822 0.560 O
0.178 0.178 0.440 O
0.283 0.283 0.999 O
0.717 0.717 0.001 O
0.672 0.672 0.361 O
0.328 0.328 0.639 O
0.218 0.683 0.270 O
0.782 0.317 0.730 O
0.317 0.782 0.730 O
0.683 0.218 0.270 O
```

Results
The total energy is -81.50 eV per cell. The size of the total moment is 2.01 Bohr magnetons per cell. As for the energy relative to the elements, uncorrected: -715 meV/atom.

No. 2
Computed, not measured: a relaxed structure of CuAsPbO5 at the PBE level of DFT.

```
CuAsPbO5
1.0
-0.897 5.054 -3.131
-5.883 -1.206 0.284
2.814 1.801 7.411
Cu As Pb O
2 2 2 10
direct
0.314 0.686 0.250 Cu
0.686 0.314 0.750 Cu
0.634 0.366 0.250 As
0.366 0.634 0.750 As
0.000 0.000 0.500 Pb
0.000 0.000 0.000 Pb
0.104 0.896 0.250 O
0.896 0.104 0.750 O
0.733 0.256 0.070 O
0.267 0.744 0.930 O
0.744 0.267 0.430 O
0.256 0.733 0.570 O
0.663 0.683 0.334 O
0.337 0.317 0.666 O
0.317 0.337 0.166 O
0.683 0.663 0.834 O
```

Results
The total energy is -89.24 eV per cell. The size of the total moment is 1.01 Bohr magnetons per cell. As for the energy relative to the elements, uncorrected: -922 meV/atom.

No. 3
Computed, not measured: a relaxed structure of Cu7As6Pb2O24 at the PBE level of DFT.

```
Cu7As6Pb2O24
1.0
-0.956 -4.582 2.376
8.183 -1.859 -1.407
2.664 4.791 10.036
Cu As Pb O
7 6 2 24
direct
0.986 0.276 0.166 Cu
0.964 0.919 0.320 Cu
0.036 0.081 0.680 Cu
0.000 0.000 0.000 Cu
0.014 0.724 0.834 Cu
0.500 0.500 0.000 Cu
0.500 0.000 0.500 Cu
0.025 0.661 0.114 As
0.964 0.271 0.448 As
0.975 0.339 0.886 As
0.486 0.084 0.222 As
0.514 0.916 0.778 As
0.036 0.729 0.552 As
0.502 0.463 0.670 Pb
0.498 0.537 0.330 Pb
0.881 0.217 0.002 O
0.762 0.899 0.877 O
0.370 0.726 0.772 O
0.813 0.082 0.419 O
0.674 0.976 0.649 O
0.705 0.606 0.123 O
0.273 0.608 0.515 O
0.727 0.392 0.485 O
0.184 0.249 0.558 O
0.187 0.918 0.581 O
0.326 0.024 0.351 O
0.886 0.662 0.678 O
0.119 0.783 0.998 O
0.870 0.250 0.758 O
0.114 0.338 0.322 O
0.630 0.274 0.228 O
0.295 0.394 0.877 O
0.197 0.493 0.102 O
0.803 0.507 0.898 O
0.288 0.045 0.815 O
0.712 0.955 0.185 O
0.238 0.101 0.123 O
0.816 0.751 0.442 O
0.130 0.750 0.242 O
```

Results
The total energy is -220.93 eV per cell. The size of the total moment is 6.56 Bohr magnetons per cell. As for the energy relative to the elements, uncorrected: -973 meV/atom.

- Number 1 is which compound?
  Cu2As2PbO10